# NaSnO2, optimized geometry, DFT GGA-PBE
data_NaSnO2
_chemical_formula_sum 'Na4 Sn4 O8'
_cell_length_a 5.399
_cell_length_b 3.217
_cell_length_c 13.612
_cell_angle_alpha 90.00
_cell_angle_beta 90.00
_cell_angle_gamma 90.00
_symmetry_space_group_name_H-M 'P 1'
_symmetry_Int_Tables_number 1
loop_
_symmetry_equiv_pos_as_xyz
'x,y,z'
loop_
_atom_site_label
_atom_site_type_symbol
_atom_site_fract_x
_atom_site_fract_y
_atom_site_fract_z
_atom_site_occupancy
Na1 Na 0.249 0.250 0.182 1
Na2 Na 0.251 0.750 0.682 1
Na3 Na 0.749 0.250 0.318 1
Na4 Na 0.751 0.750 0.818 1
Sn1 Sn 0.246 0.250 0.951 1
Sn2 Sn 0.254 0.750 0.451 1
Sn3 Sn 0.746 0.250 0.549 1
Sn4 Sn 0.754 0.750 0.049 1
O1 O 0.135 0.250 0.564 1
O2 O 0.210 0.750 0.849 1
O3 O 0.290 0.250 0.349 1
O4 O 0.365 0.750 0.064 1
O5 O 0.635 0.250 0.936 1
O6 O 0.710 0.750 0.651 1
O7 O 0.790 0.250 0.151 1
O8 O 0.865 0.750 0.436 1
# N(E_F): 3.39 states/eV per cell
# DFT total energy: -83.472 eV/cell
# Space group: Pnma
# Magnetization: 0.00 μB per cell